1.
RbPC3 (PBE, optimized geometry); N(E_F) = 5.1 states/eV/cell; total magnetization = 4.0 μB/f.u.; crystal system = cubic; symmetry = Pm-3m
1.0
-0.404 -3.079 -4.228
1.557 -4.119 2.851
-4.993 -1.035 1.231
C P Rb
3 1 1
direct
0.500 0.000 0.000
0.000 0.500 0.000
0.000 0.000 0.500
0.500 0.500 0.500
0.000 0.000 0.000

---

2.
RbPC3 (PBE, optimized geometry); N(E_F) = 1.4 states/eV/cell; total magnetization = 0.0 μB/f.u.; crystal system = cubic; symmetry = Pm-3m
1.0
3.898 0.000 0.000
0.000 3.898 0.000
0.000 0.000 3.898
C Rb P
3 1 1
direct
0.500 0.000 0.000
0.000 0.000 0.500
0.000 0.500 0.000
0.500 0.500 0.500
0.000 0.000 0.000

---

Of them, 1 has the lowest stability.

---

1.
RbPCS2 (PBE, optimized geometry); N(E_F) = 2.7 states/eV/cell; total magnetization = 0.0 μB/f.u.; crystal system = tetragonal; symmetry = P4/mmm
1.0
4.865 0.000 0.000
0.000 4.865 0.000
0.000 0.000 3.955
C S P Rb
1 2 1 1
direct
0.000 0.000 0.000
0.000 0.500 0.000
0.500 0.000 0.000
0.000 0.000 0.500
0.500 0.500 0.500

---

2.
RbPCS2 (PBE, optimized geometry); N(E_F) = 18.6 states/eV/cell; total magnetization = 5.9 μB/f.u.; crystal system = tetragonal; symmetry = P4/mmm
1.0
6.395 0.000 0.000
0.000 6.395 0.000
0.000 0.000 6.790
S C Rb P
2 1 1 1
direct
0.500 0.000 0.000
0.000 0.500 0.000
0.500 0.500 0.500
0.000 0.000 0.000
0.000 0.000 0.500

---

Of them, 2 has the lowest stability.

---

1.
Re2PC (PBE, optimized geometry); N(E_F) = 2.3 states/eV/cell; total magnetization = 0.0 μB/f.u.; crystal system = cubic; symmetry = Fm-3m
1.0
1.116 2.668 2.812
-1.922 3.533 0.304
-2.401 0.725 3.159
P C Re
1 1 2
direct
0.500 0.500 0.500
0.000 0.000 0.000
0.750 0.750 0.750
0.250 0.250 0.250

---

2.
Re2PC (PBE, optimized geometry); N(E_F) = 9.1 states/eV/cell; total magnetization = 0.9 μB/f.u.; crystal system = tetragonal; symmetry = I-42d
1.0
5.072 0.000 0.000
0.000 5.072 0.000
2.536 2.536 4.768
C Re P
2 4 2
direct
0.250 0.750 0.500
0.500 0.500 0.000
0.875 0.825 0.750
0.175 0.625 0.250
0.575 0.125 0.250
0.375 0.425 0.750
0.000 0.000 0.000
0.750 0.250 0.500

---

Of them, 1 has the lowest stability.

---

1.
PRhCS2 (PBE, optimized geometry); N(E_F) = 2.3 states/eV/cell; total magnetization = 0.0 μB/f.u.; crystal system = tetragonal; symmetry = P4/mmm
1.0
4.079 0.000 0.000
0.000 4.079 0.000
0.000 0.000 3.911
P S Rh C
1 2 1 1
direct
0.000 0.000 0.500
0.000 0.500 0.000
0.500 0.000 0.000
0.500 0.500 0.500
0.000 0.000 0.000

---

2.
PRhCS2 (PBE, optimized geometry); N(E_F) = 4.3 states/eV/cell; total magnetization = 0.2 μB/f.u.; crystal system = tetragonal; symmetry = P4/mmm
1.0
4.769 0.000 0.000
0.000 4.769 0.000
0.000 0.000 4.392
Rh S C P
1 2 1 1
direct
0.000 0.000 0.000
0.500 0.000 0.000
0.000 0.500 0.000
0.500 0.500 0.500
0.000 0.000 0.500

---

Of them, 2 has the lowest stability.